Computed, not measured: a relaxed FeOsNO2 crystal at the GGA+U level of DFT. Values from VASP.

```
&SYSTEM
  ibrav = 0, nat = 5, ntyp = 4
/
ATOMIC_SPECIES
Os 190.23 Os.upf
N 14.01 N.upf
O 16.00 O.upf
Fe 55.84 Fe.upf
CELL_PARAMETERS angstrom
3.9484 0.0000 0.0000
0.0000 3.9484 0.0000
0.0000 0.0000 3.7817
ATOMIC_POSITIONS crystal
Os 0.0000 0.0000 0.0000
N 0.0000 0.0000 0.5000
O 0.0000 0.5000 0.0000
O 0.5000 0.0000 0.0000
Fe 0.5000 0.5000 0.5000
```

## Properties
- N(E_F) (states/eV/cell) = 2.05
- size of the total moment (μB/f.u.) = 4.14
- VASP energy (eV/f.u.) = -35.35
- volume (Å³ per cell) = 59.0